Computed, not measured: NaTaZn after structural relaxation at the GGA-PBE level of DFT.

Crystal system: cubic
Polymorph energy (0 for the lowest one): 0 kJ/mol of formula units
Total magnetization: 0.0 μB per cell

CIF file:
```
data_NaTaZn
_space_group_name_H-M_alt 'F -4 3 m'
_space_group_IT_number 216
_space_group_name_Hall 'F -4 2 3'
_cell_length_a 6.415
_cell_length_b 6.415
_cell_length_c 6.415
_cell_angle_alpha 90.00
_cell_angle_beta 90.00
_cell_angle_gamma 90.00
loop_
_atom_site_label
_atom_site_fract_x
_atom_site_fract_y
_atom_site_fract_z
_atom_site_occupancy
Na1 0.000 0.000 0.000 1
Ta1 0.250 0.250 0.250 1
Zn1 0.000 0.000 0.500 1
```

---

Computed, not measured: YScBePt after structural relaxation at the GGA-PBE level of DFT.

Crystal system: cubic
Polymorph energy (0 for the lowest one): 64 kJ/mol of formula units
Total magnetization: 0.0 μB per cell

CIF file:
```
data_YScBePt
_space_group_name_H-M_alt 'F -4 3 m'
_space_group_IT_number 216
_space_group_name_Hall 'F -4 2 3'
_cell_length_a 6.552
_cell_length_b 6.552
_cell_length_c 6.552
_cell_angle_alpha 90.00
_cell_angle_beta 90.00
_cell_angle_gamma 90.00
loop_
_atom_site_label
_atom_site_fract_x
_atom_site_fract_y
_atom_site_fract_z
_atom_site_occupancy
Y1 0.000 0.000 0.000 1
Sc1 0.250 0.250 0.250 1
Be1 0.000 0.000 0.500 1
Pt1 0.250 0.250 0.750 1
```

---

Computed, not measured: La3AgSnS7 after structural relaxation at the GGA-PBE level of DFT.

Crystal system: hexagonal
Raw total energy: -137.21 eV for the cell shown
Total magnetization: 0.0 μB per cell

CIF file:
```
data_La3AgSnS7
_space_group_name_H-M_alt 'P 63'
_space_group_IT_number 173
_cell_length_a 10.4549
_cell_length_b 10.4549
_cell_length_c 6.0476
_cell_angle_alpha 90.00
_cell_angle_beta 90.00
_cell_angle_gamma 120.00
loop_
_space_group_symop_operation_xyz
'x,y,z'
'x-y,x,z+1/2'
'-y,x-y,z'
'-x,-y,z+1/2'
'-x+y,-x,z'
'y,-x+y,z+1/2'
loop_
_atom_site_label
_atom_site_fract_x
_atom_site_fract_y
_atom_site_fract_z
_atom_site_occupancy
La1 0.1318 0.3589 0.0000 1
Ag1 0.0000 0.0000 0.4203 1
Sn1 0.3333 0.6667 0.5765 1
S1 0.0931 0.5775 0.7459 1
S2 0.1014 0.2680 0.4743 1
S3 0.3333 0.6667 0.1836 1
```

---

Computed, not measured: ScAlFeTc after structural relaxation at the GGA-PBE level of DFT.

Crystal system: cubic
Polymorph energy (0 for the lowest one): 0 kJ/mol of formula units
Total magnetization: 9.1 μB per cell

CIF file:
```
data_ScAlFeTc
_space_group_name_H-M_alt 'F -4 3 m'
_space_group_IT_number 216
_space_group_name_Hall 'F -4 2 3'
_cell_length_a 6.192
_cell_length_b 6.192
_cell_length_c 6.192
_cell_angle_alpha 90.00
_cell_angle_beta 90.00
_cell_angle_gamma 90.00
loop_
_atom_site_label
_atom_site_fract_x
_atom_site_fract_y
_atom_site_fract_z
_atom_site_occupancy
Sc1 0.000 0.000 0.000 1
Al1 0.000 0.000 0.500 1
Fe1 0.250 0.250 0.750 1
Tc1 0.250 0.250 0.250 1
```

---

Computed, not measured: K2TePdSe after structural relaxation at the GGA-PBE level of DFT.

Crystal system: orthorhombic
Raw total energy: -36.50 eV for the cell shown

CIF file:
```
data_K2TePdSe
_space_group_name_H-M_alt 'I m m 2'
_space_group_IT_number 44
_cell_length_a 3.945
_cell_length_b 10.181
_cell_length_c 7.634
_cell_angle_alpha 90.00
_cell_angle_beta 90.00
_cell_angle_gamma 90.00
loop_
_space_group_symop_operation_xyz
'x,y,z'
'-x,-y,z'
'-x,y,z'
'x,-y,z'
'x+1/2,y+1/2,z+1/2'
'-x+1/2,-y+1/2,z+1/2'
'-x+1/2,y+1/2,z+1/2'
'x+1/2,-y+1/2,z+1/2'
loop_
_atom_site_label
_atom_site_fract_x
_atom_site_fract_y
_atom_site_fract_z
_atom_site_occupancy
K1 0.000 0.199 0.000 1
Te1 0.000 0.500 0.206 1
Pd1 0.000 0.000 0.474 1
Se1 0.000 0.500 0.763 1
```

---

Computed, not measured: NbFeCuB after structural relaxation at the GGA-PBE level of DFT.

Crystal system: cubic
Polymorph energy (0 for the lowest one): 41 kJ/mol of formula units
Total magnetization: 4.0 μB per cell

CIF file:
```
data_NbFeCuB
_space_group_name_H-M_alt 'F -4 3 m'
_space_group_IT_number 216
_space_group_name_Hall 'F -4 2 3'
_cell_length_a 5.738
_cell_length_b 5.738
_cell_length_c 5.738
_cell_angle_alpha 90.00
_cell_angle_beta 90.00
_cell_angle_gamma 90.00
loop_
_atom_site_label
_atom_site_fract_x
_atom_site_fract_y
_atom_site_fract_z
_atom_site_occupancy
Nb1 0.000 0.000 0.000 1
Fe1 0.250 0.250 0.250 1
Cu1 0.250 0.250 0.750 1
B1 0.000 0.000 0.500 1
```

---

Computed, not measured: Na2Tm2TeO6 after structural relaxation at the GGA-PBE level of DFT.

Crystal system: monoclinic
Raw total energy: -139.58 eV for the cell shown
Total magnetization: 0.0 μB per cell

CIF file:
```
data_Na2Tm2TeO6
_space_group_name_H-M_alt 'C 1 2/m 1'
_space_group_IT_number 12
_cell_length_a 5.797
_cell_length_b 9.941
_cell_length_c 5.744
_cell_angle_alpha 90.00
_cell_angle_beta 109.31
_cell_angle_gamma 90.00
loop_
_space_group_symop_operation_xyz
'x,y,z'
'-x,-y,-z'
'-x,y,-z'
'x,-y,z'
'x+1/2,y+1/2,z'
'-x+1/2,-y+1/2,-z'
'-x+1/2,y+1/2,-z'
'x+1/2,-y+1/2,z'
loop_
_atom_site_label
_atom_site_fract_x
_atom_site_fract_y
_atom_site_fract_z
_atom_site_occupancy
Na1 0.000 0.166 0.000 1
Tm1 0.000 0.336 0.500 1
Te1 0.000 0.000 0.500 1
O1 0.230 0.169 0.706 1
O2 0.248 0.500 0.709 1
```

---

Computed, not measured: LiZn5 after structural relaxation at the GGA-PBE level of DFT.

Crystal system: trigonal
Polymorph energy (0 for the lowest one): 6 kJ/mol of formula units

CIF file:
```
data_LiZn5
_space_group_name_H-M_alt 'R 3 2'
_space_group_IT_number 155
_space_group_name_Hall 'R 3 2"'
_cell_length_a 4.7589
_cell_length_b 4.7589
_cell_length_c 13.1236
_cell_angle_alpha 90.00
_cell_angle_beta 90.00
_cell_angle_gamma 120.00
loop_
_atom_site_label
_atom_site_fract_x
_atom_site_fract_y
_atom_site_fract_z
_atom_site_occupancy
Li1 0.0000 0.0000 0.0000 1
Zn1 0.0000 0.0000 0.3340 1
Zn2 0.0000 0.3342 0.5000 1
```

---

Computed, not measured: Rb3ErAs2 after structural relaxation at the GGA-PBE level of DFT.

Crystal system: monoclinic
Raw total energy: -72.67 eV for the cell shown
Total magnetization: 0.0 μB per cell

CIF file:
```
data_Rb3ErAs2
_space_group_name_H-M_alt 'C 1 2/c 1'
_space_group_IT_number 15
_cell_length_a 11.659
_cell_length_b 11.251
_cell_length_c 8.497
_cell_angle_alpha 90.00
_cell_angle_beta 97.34
_cell_angle_gamma 90.00
loop_
_space_group_symop_operation_xyz
'x,y,z'
'-x,-y,-z'
'-x,y,-z+1/2'
'x,-y,z+1/2'
'x+1/2,y+1/2,z'
'-x+1/2,-y+1/2,-z'
'-x+1/2,y+1/2,-z+1/2'
'x+1/2,-y+1/2,z+1/2'
loop_
_atom_site_label
_atom_site_fract_x
_atom_site_fract_y
_atom_site_fract_z
_atom_site_occupancy
Rb1 0.000 0.184 0.250 1
Rb2 0.209 0.458 0.987 1
Er1 0.000 0.200 0.750 1
As1 0.187 0.245 0.610 1
```

---

Computed, not measured: Cu4Ag after structural relaxation at the GGA-PBE level of DFT.

Crystal system: monoclinic
Polymorph energy (0 for the lowest one): 11 kJ/mol of formula units
ΔE_f: 0.07 eV/atom

CIF file:
```
data_Cu4Ag
_space_group_name_H-M_alt 'C 1 2/m 1'
_space_group_IT_number 12
_cell_length_a 13.600
_cell_length_b 3.676
_cell_length_c 5.331
_cell_angle_alpha 90.00
_cell_angle_beta 101.96
_cell_angle_gamma 90.00
loop_
_space_group_symop_operation_xyz
'x,y,z'
'-x,-y,-z'
'-x,y,-z'
'x,-y,z'
'x+1/2,y+1/2,z'
'-x+1/2,-y+1/2,-z'
'-x+1/2,y+1/2,-z'
'x+1/2,-y+1/2,z'
loop_
_atom_site_label
_atom_site_fract_x
_atom_site_fract_y
_atom_site_fract_z
_atom_site_occupancy
Cu1 0.000 0.000 0.000 1
Cu2 0.000 0.000 0.500 1
Cu3 0.093 0.500 0.288 1
Cu4 0.095 0.500 0.810 1
Cu5 0.194 0.000 0.094 1
Ag1 0.196 0.000 0.607 1
```

---

Computed, not measured: TcB4Pb after structural relaxation at the GGA-PBE level of DFT.

Crystal system: orthorhombic
Polymorph energy (0 for the lowest one): 211 kJ/mol of formula units
Total magnetization: 0.0 μB per cell

CIF file:
```
data_TcB4Pb
_space_group_name_H-M_alt 'I m m m'
_space_group_IT_number 71
_space_group_name_Hall '-I 2 2'
_cell_length_a 3.094
_cell_length_b 5.509
_cell_length_c 7.507
_cell_angle_alpha 90.00
_cell_angle_beta 90.00
_cell_angle_gamma 90.00
loop_
_atom_site_label
_atom_site_fract_x
_atom_site_fract_y
_atom_site_fract_z
_atom_site_occupancy
Tc1 0.000 0.000 0.000 1
B1 0.000 0.339 0.259 1
Pb1 0.000 0.000 0.500 1
```

---

Computed, not measured: YHoAg4 after structural relaxation at the GGA-PBE level of DFT.

Crystal system: tetragonal
Polymorph energy (0 for the lowest one): 0 kJ/mol of formula units
ΔE_f: -0.33 eV/atom
Total magnetization: 0.0 μB per cell

CIF file:
```
data_YHoAg4
_space_group_name_H-M_alt 'P 4/m m m'
_space_group_IT_number 123
_space_group_name_Hall '-P 4 2'
_cell_length_a 3.713
_cell_length_b 3.713
_cell_length_c 9.227
_cell_angle_alpha 90.00
_cell_angle_beta 90.00
_cell_angle_gamma 90.00
loop_
_atom_site_label
_atom_site_fract_x
_atom_site_fract_y
_atom_site_fract_z
_atom_site_occupancy
Y1 0.000 0.000 0.000 1
Ho1 0.500 0.500 0.500 1
Ag1 0.000 0.000 0.332 1
Ag2 0.500 0.500 0.172 1
```

---

| no. | theoretical density (Mg/m³) |
| --- | --- |
| 1 | 6.8 |
| 2 | 8.0 |
| 3 | 5.0 |
| 4 | 6.3 |
| 5 | 4.2 |
| 6 | 7.8 |
| 7 | 6.5 |
| 8 | 6.5 |
| 9 | 3.4 |
| 10 | 9.2 |
| 11 | 9.0 |
| 12 | 8.9 |